VPd5Au2 | GGA-PBE | optimized geometry

size of the total moment = 2.56 μB per cell
uncorrected energy = -0.3932 Ry/atom

Structure (POSCAR):
```
VPd5Au2
1.0
5.6244 0.0000 0.0000
0.0000 11.2154 0.0000
0.0000 0.0000 3.9944
V Pd Au
2 10 4
direct
0.0000 0.0000 0.0000
0.5000 0.5000 0.0000
0.0000 0.5000 0.0000
0.0084 0.2419 0.0000
0.2343 0.8818 0.5000
0.2657 0.3818 0.5000
0.4916 0.7419 0.0000
0.5000 0.0000 0.0000
0.5084 0.2581 0.0000
0.7343 0.6182 0.5000
0.7657 0.1182 0.5000
0.9916 0.7581 0.0000
0.2391 0.6267 0.5000
0.2609 0.1267 0.5000
0.7391 0.8733 0.5000
0.7609 0.3733 0.5000
```